(1)
GdMgCdGe | PBE | optimized geometry

For the energy of formation, the calculation gives -0.32 eV per atom. The magnetization comes out at 6.87 μB per formula unit. For the energy, the calculation gives -22.50 eV per cell.

Lattice parameters (Å, degrees): 5.048 5.048 5.048 60.00 60.00 60.00
Positions (direct):
1 Gd 0.500 0.500 0.500
2 Ge 0.250 0.250 0.250
3 Cd 0.750 0.750 0.750
4 Mg 0.000 0.000 0.000

(2)
YSi | PBE | optimized geometry

The magnetization comes out at 0.00 μB per formula unit. For the uncorrected formation energy, the calculation gives -0.28 eV per atom. For the energy, the calculation gives -12.44 eV per cell.

Lattice parameters (Å, degrees): 3.648 3.648 4.180 90.00 90.00 120.00
Positions (direct):
1 Si 0.000 0.000 0.000
2 Y 0.667 0.333 0.500

(3)
LiEr5Sb4 | PBE | optimized geometry

The magnetization comes out at 0.00 μB per formula unit. For the uncorrected formation energy, the calculation gives -0.78 eV per atom. For the energy, the calculation gives -48.99 eV per cell.

Lattice parameters (Å, degrees): 6.178 7.445 7.445 80.09 65.49 65.49
Positions (direct):
1 Sb 0.564 0.612 0.187
2 Sb 0.752 0.813 0.612
3 Sb 0.177 0.187 0.388
4 Sb 0.364 0.388 0.813
5 Er 0.652 0.212 0.410
6 Er 0.062 0.590 0.212
7 Er 0.864 0.410 0.788
8 Er 0.640 0.000 0.000
9 Er 0.273 0.788 0.590
10 Li 0.163 0.000 0.000

(4)
HgPtIO2 | PBE | optimized geometry

As for the relative energy among the computed polymorphs: 0.000 eV/atom. The magnetization comes out at 1.48 μB per formula unit. For the uncorrected formation energy, the calculation gives 0.06 eV per atom. For the energy, the calculation gives -17.52 eV per cell.

Lattice parameters (Å, degrees): 3.993 6.478 3.993 90.00 90.00 90.00
Positions (direct):
1 Pt 0.000 0.000 0.000
2 I 0.500 0.500 0.500
3 O 0.000 0.000 0.500
4 O 0.500 0.000 0.000
5 Hg 0.000 0.500 0.000

Question: What is the magnetization in the fourth record?
Answer: 1.48 μB per formula unit

Question: What is the magnetization in the second record?
Answer: 0.00 μB per formula unit